(1)
{"formula": "Ac6CoPb2", "functional": "PBE-GGA", "state": "relaxed", "lattice_angstrom": [[7.7591, 0.0000, -0.2048], [0.0000, 7.7618, 0.0000], [0.2902, 0.0000, 10.9876]], "species": ["Ac", "Ac", "Ac", "Ac", "Ac", "Ac", "Ac", "Ac", "Ac", "Ac", "Ac", "Ac", "Co", "Co", "Pb", "Pb", "Pb", "Pb"], "fractional_positions": [[0.9989, 0.9999, 0.2496], [0.7462, 0.7529, 0.5006], [0.7471, 0.7538, 0.9995], [0.7529, 0.2538, 0.5005], [0.7538, 0.2529, 0.9994], [0.5011, 0.4999, 0.2504], [0.0011, 0.0001, 0.7504], [0.2538, 0.2471, 0.4994], [0.2529, 0.2462, 0.0005], [0.2471, 0.7462, 0.4995], [0.2462, 0.7471, 0.0006], [0.4989, 0.5001, 0.7496], [0.5000, 0.5000, 0.0000], [0.0000, 0.0000, 0.5000], [0.9999, 0.5002, 0.7500], [0.5001, 0.0002, 0.7500], [0.4999, 0.9998, 0.2500], [0.0001, 0.4998, 0.2500]], "dft_energy_ry_per_atom": -0.3407, "polymorph_energy_mev_per_atom": 0, "formation_enthalpy_0k_ev_per_atom": -0.28}

(2)
{"formula": "Ac12Co5Pb3", "functional": "PBE-GGA", "state": "relaxed", "lattice_angstrom": [[15.6668, 0.0000, 0.0000], [-5.2223, 14.7708, 0.0000], [-5.2223, -7.3854, 12.7919]], "species": ["Pb", "Pb", "Pb", "Pb", "Pb", "Pb", "Pb", "Pb", "Pb", "Pb", "Pb", "Pb", "Co", "Co", "Co", "Co", "Co", "Co", "Co", "Co", "Co", "Co", "Co", "Co", "Co", "Co", "Co", "Co", "Co", "Co", "Co", "Co", "Ac", "Ac", "Ac", "Ac", "Ac", "Ac", "Ac", "Ac", "Ac", "Ac", "Ac", "Ac", "Ac", "Ac", "Ac", "Ac", "Ac", "Ac", "Ac", "Ac", "Ac", "Ac", "Ac", "Ac", "Ac", "Ac", "Ac", "Ac", "Ac", "Ac", "Ac", "Ac", "Ac", "Ac", "Ac", "Ac", "Ac", "Ac", "Ac", "Ac", "Ac", "Ac", "Ac", "Ac", "Ac", "Ac", "Ac", "Ac"], "fractional_positions": [[0.7500, 0.3750, 0.1250], [0.8750, 0.7500, 0.1250], [0.3750, 0.7500, 0.6250], [0.2500, 0.1250, 0.3750], [0.8750, 0.1250, 0.2500], [0.3750, 0.6250, 0.2500], [0.6250, 0.3750, 0.7500], [0.1250, 0.8750, 0.7500], [0.7500, 0.8750, 0.6250], [0.6250, 0.2500, 0.3750], [0.1250, 0.2500, 0.8750], [0.2500, 0.6250, 0.8750], [0.1250, 0.3750, 0.2500], [0.0000, 0.5000, 0.0000], [0.0000, 0.0000, 0.0000], [0.3750, 0.2500, 0.1250], [0.5000, 0.0000, 0.5000], [0.5000, 0.5000, 0.0000], [0.1250, 0.7500, 0.3750], [0.7500, 0.1250, 0.8750], [0.7500, 0.6250, 0.3750], [0.3750, 0.1250, 0.7500], [0.6250, 0.8750, 0.2500], [0.5000, 0.5000, 0.5000], [0.5000, 0.0000, 0.0000], [0.0000, 0.0000, 0.5000], [0.2500, 0.3750, 0.6250], [0.2500, 0.8750, 0.1250], [0.0000, 0.5000, 0.5000], [0.8750, 0.2500, 0.6250], [0.6250, 0.7500, 0.8750], [0.8750, 0.6250, 0.7500], [0.7009, 0.1171, 0.0209], [0.3201, 0.5209, 0.4038], [0.9791, 0.3829, 0.2991], [0.5209, 0.2009, 0.1171], [0.5838, 0.7009, 0.6799], [0.9791, 0.5962, 0.1799], [0.3201, 0.7991, 0.4162], [0.0962, 0.9162, 0.1171], [0.5962, 0.9791, 0.6799], [0.7009, 0.5838, 0.1799], [0.7991, 0.4791, 0.3829], [0.8201, 0.9038, 0.0209], [0.1171, 0.7009, 0.5209], [0.3829, 0.4038, 0.0838], [0.0838, 0.9038, 0.3829], [0.4162, 0.1171, 0.5962], [0.0838, 0.1799, 0.2009], [0.4791, 0.6799, 0.0962], [0.8201, 0.9162, 0.2991], [0.1171, 0.4162, 0.0962], [0.3829, 0.9791, 0.7991], [0.5962, 0.6171, 0.4162], [0.9038, 0.8201, 0.5209], [0.7991, 0.3201, 0.9162], [0.4038, 0.3829, 0.5838], [0.0962, 0.1799, 0.4791], [0.2009, 0.6799, 0.0838], [0.1799, 0.0838, 0.7009], [0.6171, 0.0209, 0.2009], [0.8829, 0.5838, 0.9038], [0.5209, 0.3201, 0.9038], [0.5838, 0.8829, 0.4038], [0.9162, 0.8201, 0.7991], [0.9162, 0.0962, 0.6171], [0.8829, 0.2991, 0.4791], [0.1799, 0.0962, 0.9791], [0.6171, 0.5962, 0.9162], [0.4038, 0.0209, 0.3201], [0.2991, 0.4162, 0.8201], [0.2009, 0.5209, 0.6171], [0.9038, 0.0838, 0.8829], [0.6799, 0.2009, 0.5838], [0.4791, 0.7991, 0.8829], [0.0209, 0.4038, 0.8201], [0.4162, 0.2991, 0.3201], [0.0209, 0.6171, 0.7009], [0.6799, 0.4791, 0.5962], [0.2991, 0.8829, 0.9791]], "dft_energy_ry_per_atom": -0.3546, "formation_enthalpy_0k_ev_per_atom": -0.03}

(3)
{"formula": "Ac6CoPb2", "functional": "PBE-GGA", "state": "relaxed", "lattice_angstrom": [[7.1456, 0.0000, 0.1586], [0.0000, 8.9614, 0.0000], [-0.6612, 0.0000, 10.8767]], "species": ["Ac", "Ac", "Ac", "Ac", "Ac", "Ac", "Ac", "Ac", "Ac", "Ac", "Ac", "Ac", "Co", "Co", "Pb", "Pb", "Pb", "Pb"], "fractional_positions": [[0.8920, 0.9735, 0.2526], [0.8567, 0.6944, 0.5465], [0.8429, 0.6692, 0.9523], [0.6571, 0.1692, 0.5477], [0.6433, 0.1944, 0.9535], [0.6080, 0.4735, 0.2474], [0.1080, 0.0265, 0.7474], [0.1433, 0.3056, 0.4535], [0.1571, 0.3308, 0.0477], [0.3429, 0.8308, 0.4523], [0.3567, 0.8056, 0.0465], [0.3920, 0.5265, 0.7526], [0.5000, 0.5000, 0.0000], [0.0000, 0.0000, 0.5000], [0.9259, 0.3891, 0.7457], [0.5741, 0.8891, 0.7543], [0.4259, 0.1109, 0.2457], [0.0741, 0.6109, 0.2543]], "dft_energy_ry_per_atom": -0.3390, "polymorph_energy_mev_per_atom": 23, "formation_enthalpy_0k_ev_per_atom": -0.26}

(4)
{"formula": "Ac8CoPb3", "functional": "PBE-GGA", "state": "relaxed", "lattice_angstrom": [[7.8586, 0.0000, 0.0000], [0.0000, 7.8586, 0.0000], [-3.9293, -3.9293, 7.8824]], "species": ["Ac", "Ac", "Ac", "Ac", "Ac", "Ac", "Ac", "Ac", "Co", "Pb", "Pb", "Pb"], "fractional_positions": [[0.3505, 0.3505, 0.2324], [0.3505, 0.8820, 0.2324], [0.1180, 0.6495, 0.7676], [0.1180, 0.1180, 0.7676], [0.8820, 0.8820, 0.2324], [0.8820, 0.3505, 0.2324], [0.6495, 0.1180, 0.7676], [0.6495, 0.6495, 0.7676], [0.0000, 0.0000, 0.0000], [0.7500, 0.2500, 0.5000], [0.5000, 0.5000, 0.0000], [0.2500, 0.7500, 0.5000]], "dft_energy_ry_per_atom": -0.3222, "formation_enthalpy_0k_ev_per_atom": -0.13}

Calculated D(E_F) (states/eV per atom), listed in the same order as above: 0.6613; 0.9541; 1.2968; 1.0503